This record from Alexandria describes a relaxed Na2SrPb crystal. The functional is PBE.

For the formation energy from the elements, the calculation gives -295 meV per atom. The crystal system is orthorhombic.

Cell and atoms, written as CIF:
```
data_Na2SrPb
_symmetry_space_group_name_H-M 'P n m a'
_symmetry_Int_Tables_number 62
_symmetry_space_group_name_Hall '-P 2ac 2n'
_cell_length_a 10.1277
_cell_length_b 5.5184
_cell_length_c 9.8755
_cell_angle_alpha 90.00
_cell_angle_beta 90.00
_cell_angle_gamma 90.00
loop_
_atom_site_label
_atom_site_fract_x
_atom_site_fract_y
_atom_site_fract_z
Na1 0.0768 0.2500 0.0050
Na2 0.1785 0.7500 0.7386
Sr1 0.0959 0.7500 0.3661
Pb1 0.2357 0.2500 0.5544
```